A relaxed structure of LiTm2PbO6. Source: Alexandria, functional GGA-PBE.

Raw formation energy = -2.230 eV per atom
Spin magnetization = 0.110 μB per atom

Cell: 5.6280 5.6280 15.1626 Å, 90.00 90.00 120.00°
Space group R3 (No. 146, hexagonal axes)
Symmetry-distinct sites (fractional):
Li  0.0000  0.0000  0.0000 (multiplicity 3)
Tm  0.0000  0.0000  0.2801 (multiplicity 3)
Tm  0.0000  0.0000  0.7815 (multiplicity 3)
Pb  0.0000  0.0000  0.4893 (multiplicity 3)
O  0.0013  0.7073  0.3848 (multiplicity 9)
O  0.0334  0.3618  0.5494 (multiplicity 9)